Record 1
First-principles (PBE) data for an optimized crystal structure of Cd2SeO, as listed in OQMD.

Lattice parameters (Å, degrees): 3.779 13.859 6.296 90.00 90.00 90.00
Space group Cmc2_1 (No. 36)
One atom of each set of equivalent atoms:
Cd 0.000 0.057 0.000
Cd 0.000 0.331 0.923
Se 0.000 0.322 0.350
O 0.000 0.082 0.344

Calculated total energy: -3.302 eV per atom

Record 2
First-principles (PBE) data for an optimized crystal structure of U3Co2, as listed in OQMD.

Lattice parameters (Å, degrees): 6.3655 6.3655 16.4579 90.00 90.00 120.00
Space group R-3c (No. 167, hexagonal axes)
One atom of each set of equivalent atoms:
U 0.0000 0.4408 0.2500
Co 0.0000 0.0000 0.1796

Formation enthalpy at 0 K: 263 meV per atom
Calculated total energy: -9.358 eV per atom

Record 3
First-principles (PBE) data for an optimized crystal structure of Lu2Hg, as listed in OQMD.

Lattice parameters (Å, degrees): 8.688 8.688 8.688 90.00 90.00 90.00
Space group Fd-3m (No. 227, origin choice 2)
One atom of each set of equivalent atoms:
Lu 0.000 0.000 0.000
Hg 0.125 0.125 0.625

Formation enthalpy at 0 K: 284 meV per atom
Calculated total energy: -2.831 eV per atom

Record 4
First-principles (PBE) data for an optimized crystal structure of BeInFeHg, as listed in OQMD.

Lattice parameters (Å, degrees): 6.358 6.358 6.358 90.00 90.00 90.00
Space group F-43m (No. 216)
One atom of each set of equivalent atoms:
Be 0.000 0.000 0.000
In 0.250 0.250 0.250
Fe 0.000 0.000 0.500
Hg 0.250 0.250 0.750

Calculated total energy: -3.235 eV per atom

Record 5
First-principles (PBE) data for an optimized crystal structure of Cs2FeNiCl6, as listed in OQMD.

Lattice parameters (Å, degrees): 9.873 9.873 9.873 90.00 90.00 90.00
Space group Fm-3m (No. 225)
One atom of each set of equivalent atoms:
Cs 0.250 0.250 0.250
Fe 0.000 0.000 0.000
Ni 0.000 0.000 0.500
Cl 0.000 0.000 0.250

Calculated total energy: -3.792 eV per atom

Record 6
First-principles (PBE) data for an optimized crystal structure of NaLaSiPt, as listed in OQMD.

Lattice parameters (Å, degrees): 7.083 7.083 7.083 90.00 90.00 90.00
Space group F-43m (No. 216)
One atom of each set of equivalent atoms:
Na 0.000 0.000 0.000
La 0.000 0.000 0.500
Si 0.250 0.250 0.750
Pt 0.250 0.250 0.250

Calculated total energy: -4.778 eV per atom

Record 7
First-principles (PBE) data for an optimized crystal structure of DyY2Mg4Al2, as listed in OQMD.

Lattice parameters (Å, degrees): 4.556 12.962 7.492 90.00 90.00 90.00
Space group Amm2 (No. 38)
One atom of each set of equivalent atoms:
Dy 0.000 0.000 0.000
Y 0.000 0.218 0.346
Mg 0.000 0.000 0.564
Mg 0.500 0.000 0.314
Mg 0.500 0.125 0.689
Al 0.500 0.166 0.064

Calculated total energy: -3.710 eV per atom

Record 8
First-principles (PBE) data for an optimized crystal structure of TbDyHf2Sb2, as listed in OQMD.

Lattice parameters (Å, degrees): 4.264 4.264 16.547 90.00 90.00 90.00
Space group I4mm (No. 107)
One atom of each set of equivalent atoms:
Tb 0.000 0.000 0.000
Dy 0.000 0.000 0.353
Hf 0.000 0.500 0.177
Sb 0.000 0.000 0.545
Sb 0.000 0.000 0.808

Calculated total energy: -6.943 eV per atom

Record 9
First-principles (PBE) data for an optimized crystal structure of KCuSe, as listed in OQMD.

Lattice parameters (Å, degrees): 7.9637 7.9637 4.1375 90.00 90.00 120.00
Space group P-62m (No. 189)
One atom of each set of equivalent atoms:
K 0.0000 0.2724 0.0000
Cu 0.0000 0.6234 0.5000
Se 0.0000 0.0000 0.5000
Se 0.3333 0.6667 0.0000

Calculated total energy: -2.727 eV per atom

Record 10
First-principles (PBE) data for an optimized crystal structure of Zr2Ni3W4N3, as listed in OQMD.

Lattice parameters (Å, degrees): 9.156 5.312 13.160 90.00 103.39 90.00
Space group C2/c (No. 15)
One atom of each set of equivalent atoms:
Zr 0.042 0.083 0.376
Ni 0.000 0.429 0.750
Ni 0.242 0.156 0.749
W 0.111 0.423 0.584
W 0.219 0.413 0.916
N 0.074 0.221 0.000
N 0.250 0.250 0.500

Calculated total energy: -9.582 eV per atom

Record 11
First-principles (PBE) data for an optimized crystal structure of AlZnFeW, as listed in OQMD.

Lattice parameters (Å, degrees): 6.007 6.007 6.007 90.00 90.00 90.00
Space group F-43m (No. 216)
One atom of each set of equivalent atoms:
Al 0.000 0.000 0.000
Zn 0.250 0.250 0.750
Fe 0.250 0.250 0.250
W 0.000 0.000 0.500

Calculated total energy: -6.466 eV per atom

Record 12
First-principles (PBE) data for an optimized crystal structure of Li4BiAsPt2, as listed in OQMD.

Lattice parameters (Å, degrees): 4.364 4.364 6.553 90.00 90.00 90.00
Space group P-4m2 (No. 115)
One atom of each set of equivalent atoms:
Li 0.000 0.000 0.000
Li 0.000 0.500 0.713
Li 0.500 0.500 0.500
Bi 0.500 0.500 0.000
As 0.000 0.000 0.500
Pt 0.000 0.500 0.285

Calculated total energy: -4.152 eV per atom